No. 1
Computed, not measured: a relaxed structure of U2CrS6 at the PBE level of DFT.

Cell and atoms, written as CIF:
```
data_U2CrS6
_chemical_formula_sum 'U4 Cr2 S12'
_cell_length_a 6.094
_cell_length_b 6.094
_cell_length_c 11.453
_cell_angle_alpha 90.00
_cell_angle_beta 90.00
_cell_angle_gamma 90.00
_space_group_name_H-M_alt 'P 42/m n m'
_space_group_IT_number 136
_space_group_name_Hall '-P 4n 2n'
loop_
_atom_site_label
_atom_site_fract_x
_atom_site_fract_y
_atom_site_fract_z
U1 0.000 0.000 0.172
Cr1 0.000 0.000 0.500
S1 0.192 0.192 0.348
S2 0.203 0.203 0.000
```

* energy relative to the lowest polymorph listed for this composition: 1.05 eV/f.u.

No. 2
Computed, not measured: a relaxed structure of CdFeIr2 at the PBE level of DFT.

Cell and atoms, written as CIF:
```
data_CdFeIr2
_chemical_formula_sum 'Cd4 Fe4 Ir8'
_cell_length_a 7.166
_cell_length_b 7.166
_cell_length_c 5.117
_cell_angle_alpha 90.00
_cell_angle_beta 90.00
_cell_angle_gamma 90.00
_space_group_name_H-M_alt 'I -4 2 d'
_space_group_IT_number 122
_space_group_name_Hall 'I -4 2bw'
loop_
_atom_site_label
_atom_site_fract_x
_atom_site_fract_y
_atom_site_fract_z
Cd1 0.000 0.000 0.000
Fe1 0.000 0.000 0.500
Ir1 0.191 0.750 0.625
```

* formation energy: 0.632 eV/atom

No. 3
Computed, not measured: a relaxed structure of SiOsPb2 at the PBE level of DFT.

Cell and atoms, written as CIF:
```
data_SiOsPb2
_chemical_formula_sum 'Si1 Os1 Pb2'
_cell_length_a 4.673
_cell_length_b 3.437
_cell_length_c 5.745
_cell_angle_alpha 90.00
_cell_angle_beta 110.38
_cell_angle_gamma 90.00
_space_group_name_H-M_alt 'P 1 2/m 1'
_space_group_IT_number 10
loop_
_space_group_symop_operation_xyz
'x,y,z'
'-x,-y,-z'
'-x,y,-z'
'x,-y,z'
loop_
_atom_site_label
_atom_site_fract_x
_atom_site_fract_y
_atom_site_fract_z
Si1 0.000 0.000 0.000
Os1 0.500 0.500 0.500
Pb1 0.000 0.000 0.500
Pb2 0.500 0.500 0.000
```

* VASP energy: -5.020 eV/atom

No. 4
Computed, not measured: a relaxed structure of EuMnC at the PBE level of DFT.

Cell and atoms, written as CIF:
```
data_EuMnC
_chemical_formula_sum 'Eu2 Mn2 C2'
_cell_length_a 2.817
_cell_length_b 2.817
_cell_length_c 10.285
_cell_angle_alpha 90.00
_cell_angle_beta 90.00
_cell_angle_gamma 90.00
_space_group_name_H-M_alt 'I 4 m m'
_space_group_IT_number 107
_space_group_name_Hall 'I 4 -2'
loop_
_atom_site_label
_atom_site_fract_x
_atom_site_fract_y
_atom_site_fract_z
Eu1 0.000 0.000 0.000
Mn1 0.000 0.000 0.270
C1 0.000 0.000 0.722
```

* energy relative to the lowest polymorph listed for this composition: 0.78 eV/f.u.
* formation energy: 0.522 eV/atom

No. 5
Computed, not measured: a relaxed structure of LiZnGa2P at the PBE level of DFT.

Cell and atoms, written as CIF:
```
data_LiZnGa2P
_chemical_formula_sum 'Li1 Zn1 Ga2 P1'
_cell_length_a 4.905
_cell_length_b 4.905
_cell_length_c 4.721
_cell_angle_alpha 90.00
_cell_angle_beta 90.00
_cell_angle_gamma 90.00
_space_group_name_H-M_alt 'P 4/m m m'
_space_group_IT_number 123
_space_group_name_Hall '-P 4 2'
loop_
_atom_site_label
_atom_site_fract_x
_atom_site_fract_y
_atom_site_fract_z
Li1 0.000 0.000 0.000
Zn1 0.500 0.500 0.000
Ga1 0.000 0.500 0.500
P1 0.500 0.500 0.500
```

* formation energy: 0.272 eV/atom

No. 6
Computed, not measured: a relaxed structure of CoWAu2 at the PBE level of DFT.

Cell and atoms, written as CIF:
```
data_CoWAu2
_chemical_formula_sum 'Co2 W2 Au4'
_cell_length_a 5.756
_cell_length_b 8.138
_cell_length_c 2.722
_cell_angle_alpha 90.00
_cell_angle_beta 90.00
_cell_angle_gamma 90.00
_space_group_name_H-M_alt 'C m m m'
_space_group_IT_number 65
_space_group_name_Hall '-C 2 2'
loop_
_atom_site_label
_atom_site_fract_x
_atom_site_fract_y
_atom_site_fract_z
Co1 0.000 0.000 0.000
W1 0.000 0.500 0.000
Au1 0.250 0.250 0.500
```

* energy relative to the lowest polymorph listed for this composition: 1.15 eV/f.u.
* formation energy: 0.469 eV/atom

No. 7
Computed, not measured: a relaxed structure of ErTmSe2O8 at the PBE level of DFT.

Cell and atoms, written as CIF:
```
data_ErTmSe2O8
_chemical_formula_sum 'Er2 Tm2 Se4 O16'
_cell_length_a 5.132
_cell_length_b 5.132
_cell_length_c 11.238
_cell_angle_alpha 90.00
_cell_angle_beta 90.00
_cell_angle_gamma 90.00
_space_group_name_H-M_alt 'I -4'
_space_group_IT_number 82
loop_
_space_group_symop_operation_xyz
'x,y,z'
'y,-x,-z'
'-x,-y,z'
'-y,x,-z'
'x+1/2,y+1/2,z+1/2'
'y+1/2,-x+1/2,-z+1/2'
'-x+1/2,-y+1/2,z+1/2'
'-y+1/2,x+1/2,-z+1/2'
loop_
_atom_site_label
_atom_site_fract_x
_atom_site_fract_y
_atom_site_fract_z
Er1 0.000 0.000 0.000
Tm1 0.000 0.500 0.250
Se1 0.000 0.000 0.500
Se2 0.000 0.500 0.750
O1 0.158 0.233 0.422
O2 0.168 0.785 0.835
```

* VASP energy: -6.465 eV/atom

No. 8
Computed, not measured: a relaxed structure of Ce3Dy2ErN6 at the PBE level of DFT.

Cell and atoms, written as CIF:
```
data_Ce3Dy2ErN6
_chemical_formula_sum 'Ce6 Dy4 Er2 N12'
_cell_length_a 6.083
_cell_length_b 10.536
_cell_length_c 6.091
_cell_angle_alpha 90.00
_cell_angle_beta 109.45
_cell_angle_gamma 90.00
_space_group_name_H-M_alt 'C 1 2/m 1'
_space_group_IT_number 12
loop_
_space_group_symop_operation_xyz
'x,y,z'
'-x,-y,-z'
'-x,y,-z'
'x,-y,z'
'x+1/2,y+1/2,z'
'-x+1/2,-y+1/2,-z'
'-x+1/2,y+1/2,-z'
'x+1/2,-y+1/2,z'
loop_
_atom_site_label
_atom_site_fract_x
_atom_site_fract_y
_atom_site_fract_z
Ce1 0.000 0.000 0.000
Ce2 0.000 0.333 0.000
Dy1 0.000 0.167 0.500
Er1 0.000 0.500 0.500
N1 0.248 0.335 0.747
N2 0.248 0.500 0.253
```

* VASP energy: -8.397 eV/atom